VASP calculation (PBE) on YErScMn after structural relaxation.

Lattice parameters (Å, degrees): 5.191 5.191 5.191 60.00 60.00 60.00
Sites, in units of the cell vectors:
Y: 0.000 0.000 0.000
Er: 0.500 0.500 0.500
Sc: 0.750 0.750 0.750
Mn: 0.250 0.250 0.250

Output
Electronic total energy in eV/f.u.: -25.61
SG: F-43m (216)
Calculated formation energy in eV/atom: 0.2291
Magnetization in μB/f.u.: 2.4